VASP calculation (PBE+U) on a geometry-optimized MoIO2 structure.

CIF file:
```
data_MoIO2
_chemical_formula_sum 'Mo3 I3 O6'
_cell_length_a 3.2614
_cell_length_b 3.2614
_cell_length_c 30.1167
_cell_angle_alpha 90.00
_cell_angle_beta 90.00
_cell_angle_gamma 120.00
_space_group_name_H-M_alt 'R -3 m'
_space_group_IT_number 166
_space_group_name_Hall '-R 3 2"'
loop_
_atom_site_label
_atom_site_fract_x
_atom_site_fract_y
_atom_site_fract_z
_atom_site_occupancy
Mo1 0.0000 0.0000 0.0000 1
I1 0.0000 0.0000 0.5000 1
O1 0.0000 0.0000 0.3639 1
```

Calculated values
V in Å³ per cell: 277.4
E above lowest polymorph in meV per atom: 0
E_tot in eV/atom: -5.620
Magnetization in μB per formula unit: 2.008